First-principles (GGA-PBE) data for crystalline LiTaZn at its relaxed geometry, as listed in Alexandria via LeMat-Bulk.

```
LiTaZn
1.0
-1.977 3.022 5.075
-0.259 -0.412 6.210
2.886 -0.376 -5.507
Li Ta Zn
1 1 1
Direct
0.014 0.014 0.000
0.326 0.326 0.000
0.660 0.660 0.000
```

Summary:
The density of states at the Fermi level comes out at 0.76 states/eV/atom. The calculation puts the magnetic moment at 0.0 μB/f.u. The energy of formation is 0.154 eV per atom.


First-principles (GGA-PBE) data for crystalline Li2TaZn at its relaxed geometry, as listed in Alexandria via LeMat-Bulk.

```
Li2TaZn
1.0
4.400 0.000 0.000
0.000 4.400 0.000
0.000 0.000 3.053
Li Ta Zn
2 1 1
Direct
0.000 0.000 0.000
0.500 0.500 0.000
0.500 0.000 0.500
0.000 0.500 0.500
```

Summary:
The density of states at the Fermi level comes out at 0.77 states/eV/atom. The calculation puts the magnetic moment at 0.0 μB/f.u. The energy of formation is 0.476 eV per atom.


First-principles (GGA-PBE) data for crystalline LiTa2Zn at its relaxed geometry, as listed in Alexandria via LeMat-Bulk.

```
LiTa2Zn
1.0
4.943 -0.005 0.000
1.775 4.613 0.000
-3.359 -2.304 2.800
Li Ta Zn
1 2 1
Direct
0.750 0.250 0.500
0.000 0.000 0.000
0.500 0.500 0.000
0.250 0.750 0.500
```

Summary:
The density of states at the Fermi level comes out at 0.99 states/eV/atom. The calculation puts the magnetic moment at 0.0 μB/f.u. The energy of formation is 0.281 eV per atom.


First-principles (GGA-PBE) data for crystalline LiTaZn at its relaxed geometry, as listed in Alexandria via LeMat-Bulk.

```
LiTaZn
1.0
4.019 -2.321 0.000
0.000 4.641 0.000
0.000 0.000 2.687
Zn Li Ta
1 1 1
Direct
0.000 0.000 0.000
0.667 0.333 0.500
0.333 0.667 0.000
```

Summary:
The density of states at the Fermi level comes out at 0.27 states/eV/atom. The calculation puts the magnetic moment at 0.0 μB/f.u. The energy of formation is 0.488 eV per atom.


First-principles (GGA-PBE) data for crystalline Li2TaZn at its relaxed geometry, as listed in Alexandria via LeMat-Bulk.

```
Li2TaZn
1.0
-2.387 -3.737 -3.239
5.224 -0.725 1.528
-0.786 -1.295 2.073
Li Ta Zn
2 1 1
Direct
0.000 0.000 0.000
0.500 0.500 0.000
0.500 0.000 0.500
0.000 0.500 0.500
```

Summary:
The density of states at the Fermi level comes out at 0.76 states/eV/atom. The calculation puts the magnetic moment at 0.0 μB/f.u. The energy of formation is 0.352 eV per atom.


First-principles (GGA-PBE) data for crystalline Li3TaZn at its relaxed geometry, as listed in Alexandria via LeMat-Bulk.

```
Li3TaZn
1.0
5.162 0.000 0.000
0.000 5.162 0.000
0.000 0.000 5.162
Zn Li Ta
1 3 1
Direct
0.500 0.500 0.500
0.000 0.500 0.000
0.000 0.000 0.500
0.500 0.000 0.000
0.000 0.000 0.000
```

Summary:
The density of states at the Fermi level comes out at 0.65 states/eV/atom. The calculation puts the magnetic moment at 4.4 μB/f.u. The energy of formation is 1.463 eV per atom.


First-principles (GGA-PBE) data for crystalline Li4TaZn at its relaxed geometry, as listed in Alexandria via LeMat-Bulk.

```
Li4TaZn
1.0
2.062 0.513 4.561
-1.486 -2.969 3.781
3.093 -3.549 1.777
Li Ta Zn
4 1 1
Direct
0.876 0.375 0.375
0.375 0.375 0.876
0.375 0.876 0.375
0.375 0.375 0.375
0.750 0.750 0.750
0.000 0.000 0.000
```

Summary:
The density of states at the Fermi level comes out at 0.61 states/eV/atom. The calculation puts the magnetic moment at 1.2 μB/f.u. The energy of formation is 0.451 eV per atom.


First-principles (GGA-PBE) data for crystalline LiTaZn at its relaxed geometry, as listed in Alexandria via LeMat-Bulk.

```
LiTaZn
1.0
7.127 -0.020 0.020
0.010 2.855 0.005
-1.558 1.429 4.741
Zn Li Ta
2 2 2
Direct
0.271 0.758 0.900
0.955 0.411 0.592
0.027 0.129 0.158
0.333 0.465 0.487
0.682 0.807 0.804
0.604 0.090 0.234
```

Summary:
The density of states at the Fermi level comes out at 0.23 states/eV/atom. The calculation puts the magnetic moment at 0.0 μB/f.u. The energy of formation is 0.100 eV per atom.


First-principles (GGA-PBE) data for crystalline LiTa2Zn at its relaxed geometry, as listed in Alexandria via LeMat-Bulk.

```
LiTa2Zn
1.0
2.800 0.000 0.000
0.000 2.800 0.000
0.000 0.000 8.454
Li Ta Zn
1 2 1
Direct
0.500 0.500 0.750
0.000 0.000 0.013
0.000 0.000 0.487
0.500 0.500 0.250
```

Summary:
The density of states at the Fermi level comes out at 0.60 states/eV/atom. The calculation puts the magnetic moment at 0.0 μB/f.u. The energy of formation is 0.329 eV per atom.


First-principles (GGA-PBE) data for crystalline Li2TaZn at its relaxed geometry, as listed in Alexandria via LeMat-Bulk.

```
Li2TaZn
1.0
2.646 0.000 0.000
0.000 4.130 0.000
0.000 0.000 5.971
Li Ta Zn
2 1 1
Direct
0.000 0.000 0.000
0.500 0.500 0.236
0.000 0.000 0.521
0.500 0.500 0.743
```

Summary:
The density of states at the Fermi level comes out at 0.49 states/eV/atom. The calculation puts the magnetic moment at 0.0 μB/f.u. The energy of formation is 0.205 eV per atom.


First-principles (GGA-PBE) data for crystalline LiTa2Zn at its relaxed geometry, as listed in Alexandria via LeMat-Bulk.

```
LiTa2Zn
1.0
5.586 -0.003 -0.002
2.978 4.726 0.002
-3.842 -3.159 2.542
Li Ta Zn
1 2 1
Direct
0.250 0.750 0.500
0.991 0.991 0.000
0.509 0.509 0.000
0.750 0.250 0.500
```

Summary:
The density of states at the Fermi level comes out at 0.72 states/eV/atom. The calculation puts the magnetic moment at 0.0 μB/f.u. The energy of formation is 0.240 eV per atom.


First-principles (GGA-PBE) data for crystalline LiTaZn at its relaxed geometry, as listed in Alexandria via LeMat-Bulk.

```
LiTaZn
1.0
-2.007 -0.345 5.811
2.338 -2.384 1.952
2.376 3.159 1.007
Zn Li Ta
2 2 2
Direct
0.156 0.172 0.000
0.844 0.828 0.000
0.863 0.319 0.500
0.137 0.681 0.500
0.500 0.500 0.000
0.500 0.000 0.500
```

Summary:
The density of states at the Fermi level comes out at 0.47 states/eV/atom. The calculation puts the magnetic moment at 0.0 μB/f.u. The energy of formation is 0.085 eV per atom.


| no. | energy (eV per atom) |
| --- | --- |
| 1 | -4.86 |
| 2 | -3.76 |
| 3 | -6.44 |
| 4 | -4.53 |
| 5 | -3.89 |
| 6 | -2.31 |
| 7 | -3.01 |
| 8 | -4.91 |
| 9 | -6.39 |
| 10 | -4.03 |
| 11 | -6.48 |
| 12 | -4.93 |